# ThZn4Cu PBE-GGA relaxed
data_ThZn4Cu
_chemical_formula_sum 'Th4 Zn16 Cu4'
_symmetry_space_group_name_H-M 'C m c m'
_symmetry_Int_Tables_number 63
_symmetry_space_group_name_Hall '-C 2c 2'
_cell_length_a 4.222
_cell_length_b 15.562
_cell_length_c 6.592
_cell_angle_alpha 90.00
_cell_angle_beta 90.00
_cell_angle_gamma 90.00
loop_
_atom_site_label
_atom_site_type_symbol
_atom_site_fract_x
_atom_site_fract_y
_atom_site_fract_z
Th1 Th 0.000 0.126 0.250
Zn1 Zn 0.000 0.072 0.750
Zn2 Zn 0.000 0.323 0.061
Zn3 Zn 0.000 0.500 0.000
Cu1 Cu 0.000 0.230 0.750
# E_tot ... -70.97 eV per cell
# Fermi-level density of states ... 0.6732 states/eV/atom
# Total moment ... 0.000 μB/atom
# ΔE_f ... -0.189 eV/atom

---

# La3NbAl PBE-GGA relaxed
data_La3NbAl
_chemical_formula_sum 'La3 Nb1 Al1'
_symmetry_space_group_name_H-M 'P m -3 m'
_symmetry_Int_Tables_number 221
_symmetry_space_group_name_Hall '-P 4 2 3'
_cell_length_a 5.510
_cell_length_b 5.510
_cell_length_c 5.510
_cell_angle_alpha 90.00
_cell_angle_beta 90.00
_cell_angle_gamma 90.00
loop_
_atom_site_label
_atom_site_type_symbol
_atom_site_fract_x
_atom_site_fract_y
_atom_site_fract_z
La1 La 0.000 0.000 0.500
Nb1 Nb 0.000 0.000 0.000
Al1 Al 0.500 0.500 0.500
# E_tot ... -26.70 eV per cell
# Energy above the most stable polymorph in this dataset ... 0.000 eV per atom
# Fermi-level density of states ... 1.0677 states/eV/atom
# Total moment ... 0.000 μB/atom
# ΔE_f ... 0.379 eV/atom

---

# NaClF2 PBE-GGA relaxed
data_NaClF2
_chemical_formula_sum 'Na4 Cl4 F8'
_symmetry_space_group_name_H-M 'I -4 2 d'
_symmetry_Int_Tables_number 122
_symmetry_space_group_name_Hall 'I -4 2bw'
_cell_length_a 6.317
_cell_length_b 6.317
_cell_length_c 6.535
_cell_angle_alpha 90.00
_cell_angle_beta 90.00
_cell_angle_gamma 90.00
loop_
_atom_site_label
_atom_site_type_symbol
_atom_site_fract_x
_atom_site_fract_y
_atom_site_fract_z
Na1 Na 0.000 0.000 0.000
Cl1 Cl 0.000 0.000 0.500
F1 F 0.225 0.250 0.125
# E_tot ... -45.42 eV per cell
# Energy above the most stable polymorph in this dataset ... 0.510 eV per atom
# Energy relative to the elements, uncorrected ... -1.11 eV/atom
# Fermi-level density of states ... 0.0013 states/eV/atom
# Total moment ... 0.500 μB/atom